[1]
Computed, not measured: a relaxed structure of TeSe2Cl at the PBE level of DFT.

Calculated values
V = 97 Å³ per cell
energy relative to the elements, uncorrected = 0.343 eV/atom
electronic total energy = -0.1945 Ry/atom
SG = Cmmm, No. 65
excess energy over the best structure of this formula in the dataset = 485 meV/atom

Unit cell a=5.219 b=5.219 c=4.032 alpha=90.00 beta=90.00 gamma=118.34
Atoms (fractional coordinates):
Cl: 0.000 0.500 0.500
Se: 0.500 0.500 0.000
Te: 0.500 0.000 0.500
Se: 0.000 0.000 0.000



[2]
Computed, not measured: a relaxed structure of NiAs2WSe at the PBE level of DFT.

Calculated values
V = 116 Å³ per cell
energy relative to the elements, uncorrected = 0.907 eV/atom
electronic total energy = -0.3966 Ry/atom
SG = P4/mmm, No. 123
excess energy over the best structure of this formula in the dataset = 0 meV/atom

Unit cell a=4.898 b=4.898 c=4.830 alpha=90.00 beta=90.00 gamma=90.00
Last column: magnetic moment on the atom in μB.
Atoms (fractional coordinates):
As: 0.500 0.000 0.000  0.00
Se: 0.000 0.000 0.500  0.01
W: 0.000 0.000 0.000  -0.06
As: 0.000 0.500 0.000  0.00
Ni: 0.500 0.500 0.500  0.54



[3]
Computed, not measured: a relaxed structure of ZnBiIr at the PBE level of DFT.

Calculated values
V = 133 Å³ per cell
electronic total energy = -0.3394 Ry/atom
SG = P3m1, No. 156
excess energy over the best structure of this formula in the dataset = 101 meV/atom

Unit cell a=4.103 b=4.103 c=9.158 alpha=90.00 beta=90.00 gamma=120.00
Atoms (fractional coordinates):
Ir: 0.667 0.333 0.541
Bi: 0.000 0.000 0.373
Zn: 0.000 0.000 0.694
Ir: 0.667 0.333 0.845
Zn: 0.333 0.667 0.691
Bi: 0.000 0.000 0.013



[4]
Computed, not measured: a relaxed structure of Tl2In3 at the PBE level of DFT.

Calculated values
V = 142 Å³ per cell
electronic total energy = -0.1894 Ry/atom
SG = R-3m, No. 166
excess energy over the best structure of this formula in the dataset = 0 meV/atom

Unit cell a=3.402 b=3.402 c=14.337 alpha=83.19 beta=83.19 gamma=60.00
Atoms (fractional coordinates):
In: 0.103 0.103 0.692
In: 0.897 0.897 0.308
In: 0.500 0.500 0.500
Tl: 0.298 0.298 0.107
Tl: 0.702 0.702 0.893



[5]
Computed, not measured: a relaxed structure of LaGd2Rh at the PBE level of DFT.

Calculated values
V = 114 Å³ per cell
electronic total energy = -0.7557 Ry/atom
SG = R-3m, No. 166
excess energy over the best structure of this formula in the dataset = 210 meV/atom

Unit cell a=4.647 b=4.647 c=6.645 alpha=69.53 beta=69.53 gamma=60.00
Last column: magnetic moment on the atom in μB.
Atoms (fractional coordinates):
Gd: 0.278 0.278 0.167  -7.07
La: 0.500 0.500 0.500  -0.07
Rh: 0.000 0.000 0.000  0.09
Gd: 0.722 0.722 0.833  -7.07



[6]
Computed, not measured: a relaxed structure of La8Te4As3O at the PBE level of DFT.

Calculated values
V = 483 Å³ per cell
energy relative to the elements, uncorrected = -1.704 eV/atom
electronic total energy = -0.4509 Ry/atom
SG = R-3m, No. 166

Unit cell a=8.673 b=8.950 c=8.674 alpha=118.99 beta=119.99 gamma=90.00
Atoms (fractional coordinates):
La: 0.245 0.289 0.017
Te: 0.500 0.000 0.500
As: 0.000 0.500 0.500
La: 0.259 0.277 0.518
La: 0.755 0.711 0.983
Te: 0.000 0.000 0.000
La: 0.772 0.289 0.017
As: 0.500 0.500 0.000
La: 0.228 0.711 0.983
La: 0.741 0.723 0.482
La: 0.772 0.289 0.543
As: 0.500 0.500 0.500
O: 0.000 0.500 0.000
Te: 0.500 0.000 0.000
La: 0.228 0.711 0.457
Te: 0.000 0.000 0.500



[7]
Computed, not measured: a relaxed structure of MgScZn2Au2 at the PBE level of DFT.

Calculated values
V = 108 Å³ per cell
electronic total energy = -0.2467 Ry/atom
SG = P-3m1, No. 164

Unit cell a=4.488 b=4.488 c=6.196 alpha=90.00 beta=90.00 gamma=120.00
Atoms (fractional coordinates):
Zn: 0.667 0.333 0.257
Zn: 0.333 0.667 0.743
Mg: 0.000 0.000 0.500
Sc: 0.000 0.000 0.000
Au: 0.333 0.667 0.249
Au: 0.667 0.333 0.751



[8]
Computed, not measured: a relaxed structure of Sr2LiZnBr at the PBE level of DFT.

Calculated values
V = 207 Å³ per cell
energy relative to the elements, uncorrected = -0.190 eV/atom
electronic total energy = -0.1348 Ry/atom
SG = P4/mmm, No. 123

Unit cell a=5.973 b=5.805 c=5.973 alpha=90.00 beta=90.00 gamma=90.00
Atoms (fractional coordinates):
Br: 0.000 0.000 0.000
Zn: 0.000 0.500 0.000
Sr: 0.000 0.000 0.500
Li: 0.500 0.500 0.500
Sr: 0.500 0.000 0.000